1.
Below is an optimized crystal structure of Ce5Sn2H, with properties calculated at the PBE level.

Summary:
Mass density = 7.5 Mg/m³

```
Ce5Sn2H
1.0
6.9344 -0.0002 -0.0006
0.0000 6.9346 0.0004
-3.4673 -3.4668 4.3409
Ce H Sn
5 1 2
direct
0.6907 0.6901 0.3808
0.2698 0.7694 0.0392
0.7695 0.2700 0.0396
0.7695 0.7696 0.0394
0.2699 0.2699 0.0394
0.9727 0.9728 0.9455
0.7674 0.2675 0.5350
0.2675 0.7676 0.5350
```



2.
Below is an optimized crystal structure of CeSnH2, with properties calculated at the PBE level.

Summary:
Distance to the lowest polymorph of the same formula = 0 meV per atom
Mass density = 6.7 Mg/m³

```
CeSnH2
1.0
-0.2528 -3.6793 -0.4982
0.8893 -2.3185 2.7719
-4.9124 -1.8829 2.4994
H Ce Sn
2 1 1
direct
0.1976 0.1976 0.4073
0.8024 0.8024 0.5927
0.5000 0.5000 0.5000
0.0000 0.0000 0.0000
```



3.
Below is an optimized crystal structure of Ce4Sn3H, with properties calculated at the PBE level.

Summary:
Mass density = 7.2 Mg/m³

```
Ce4Sn3H
1.0
6.8305 -0.2300 -0.6414
-3.5640 5.8315 0.6414
-3.4785 -1.7247 5.6608
Sn Ce H
3 4 1
direct
0.8508 0.0000 0.8508
0.6402 0.7416 0.3817
0.6402 0.2584 0.8986
0.5475 0.2105 0.3369
0.1264 0.7895 0.3369
0.1567 0.2961 0.4528
0.1567 0.7039 0.8606
0.0325 0.5000 0.5325
```



Computed values of total magnetization (unit: μB/f.u.) for the preceding records, in sequence: 2.80, 0.13, 3.61.
Computed values of uncorrected energy (unit: eV per atom) for the preceding records, in sequence: -5.466, -4.565, -5.309.